This record from Alexandria describes an optimized crystal structure of Ta4GaRe2. The functional is GGA-PBE.

formation enthalpy at 0 K	1.13	eV per atom
total magnetization	0.0	Bohr magnetons per cell

Lattice parameters (Å, degrees): 4.6519 4.6519 13.0599 90.00 90.00 90.00
Last column: nearest neighbours and their distance in Å.
Space group I4/mmm (No. 139)
Unique sites:
Ta  0.0000  0.0000  0.1948 (multiplicity 4)  1 Re 2.47, 1 Ga 2.54
Ta  0.0000  0.5000  0.0000 (multiplicity 4)  2 Ga 2.33
Ga  0.0000  0.0000  0.0000 (multiplicity 2)  6 Ta 2.33-2.54
Re  0.0000  0.0000  0.3841 (multiplicity 4)  1 Ta 2.47